Compound: Sr3TbCe2As6
Source: the Alexandria database
Functional: PBE
Structure: relaxed

**Total energy**: -5.38 eV per atom
**Energy of formation**: -1.259 eV per atom
**Theoretical density**: 5.5 g/cm³

```
Sr3TbCe2As6
1.0
7.477 -0.003 0.000
-3.739 6.475 0.000
-1.247 -2.159 7.122
Ce As Sr Tb
2 6 3 1
Cartesian
0.000 4.315 0.000
3.738 2.157 0.000
3.745 2.142 5.546
2.484 4.301 1.574
0.007 0.012 5.548
-0.017 4.314 5.546
2.507 -0.002 1.576
-1.254 2.171 1.576
1.245 2.156 3.561
-2.503 4.321 3.561
4.994 -0.009 3.561
0.000 0.000 0.000
```



Compound: AsIrRu
Source: the Alexandria database
Functional: PBE
Structure: relaxed

**Total energy**: -7.45 eV per atom
**Energy of formation**: 0.144 eV per atom
**Theoretical density**: 13.6 g/cm³

```
AsIrRu
1.0
4.170 0.000 0.000
-2.085 3.612 0.000
0.000 0.000 2.975
Ru As Ir
1 1 1
Cartesian
0.000 2.408 2.219
0.000 0.000 0.014
2.085 1.204 0.741
```



Compound: CoOsCl2
Source: the Alexandria database
Functional: PBE
Structure: relaxed

**Formation energy (no corrections)**: 0.186 eV/atom
**Total energy**: -5.32 eV per atom
**Theoretical density**: 7.2 g/cm³

```
CoOsCl2
1.0
3.019 0.000 0.000
0.000 2.933 0.000
0.000 -0.134 8.340
Cl Co Os
2 1 1
Cartesian
1.510 1.018 2.844
0.000 2.484 7.690
0.000 1.016 4.466
1.510 2.482 5.850
```



Compound: AlCd2Pb
Source: the Alexandria database
Functional: PBE
Structure: relaxed

**Total energy**: -2.19 eV per atom
**Energy of formation**: 0.132 eV per atom
**Theoretical density**: 7.9 g/cm³

```
AlCd2Pb
1.0
-0.606 -3.010 -0.762
1.638 0.641 -3.834
6.556 -1.947 2.475
Cd Al Pb
2 1 1
Cartesian
3.531 -1.049 1.333
6.304 -1.872 2.380
5.433 -2.645 -0.442
2.155 -1.671 -1.679
```